1.
Below is a relaxed As2BrCl crystal, with properties calculated at the PBEsol level.

Values from the calculation:
The final energy comes out at -3.81 eV per atom. The value obtained for the uncorrected formation energy is -0.283 eV/atom. The distance to the lowest polymorph of the same formula comes out at 0.00 kcal/mol of atoms. The magnetic moment comes out at 0.0 μB per cell. For the density of states at the Fermi level, the calculation gives 0.01 states/eV/atom. Its symmetry is Pm.

Lattice parameters (Å, degrees): 3.8127 4.0534 7.2813 91.48 90.00 90.00
Closest atoms and distances in Å follow each position.
Positions (direct):
As 0.5000 0.4606 0.8824  1 Cl 2.21
As 0.0000 0.0458 0.8773  1 Br 2.35, 2 As 2.54
Br 0.0000 0.9921 0.5549  1 As 2.35
Cl 0.5000 0.5016 0.1854  1 As 2.21



2.
Below is a relaxed CaHI2 crystal, with properties calculated at the PBEsol level.

Values from the calculation:
The final energy comes out at -3.44 eV per atom. The magnetic moment comes out at 0.0 μB per cell. For the density of states at the Fermi level, the calculation gives 0.00 states/eV/atom. Its symmetry is P-1.

Lattice parameters (Å, degrees): 4.4164 7.6627 9.6149 112.71 101.63 90.05
Closest atoms and distances in Å follow each position.
Positions (direct):
Ca 0.7509 0.2500 0.0010  6 I 3.10-3.11
Ca 0.2491 0.7500 0.9990  6 I 3.10-3.11
I 0.6594 0.4827 0.7956  3 Ca 3.11, 1 H 3.15
I 0.3406 0.5173 0.2044  3 Ca 3.11, 1 H 3.15
I 0.8393 0.0146 0.2045  3 Ca 3.10-3.11
I 0.1607 0.9854 0.7955  3 Ca 3.10-3.11
H 0.0451 0.5123 0.4746  1 H 0.76
H 0.9549 0.4877 0.5254  1 H 0.76



3.
Below is a relaxed Ta2Nb2Sb crystal, with properties calculated at the PBEsol level.

Values from the calculation:
The final energy comes out at -9.57 eV per atom. The value obtained for the uncorrected formation energy is 0.686 eV/atom. The magnetic moment comes out at 0.0 μB per cell. For the density of states at the Fermi level, the calculation gives 1.03 states/eV/atom. Its symmetry is I4/mmm.

Lattice parameters (Å, degrees): 3.6994 3.6994 7.7477 103.81 103.81 90.00
Closest atoms and distances in Å follow each position.
Positions (direct):
Ta 0.4036 0.4036 0.8072  1 Ta 2.81, 4 Nb 2.91, 4 Sb 2.97
Ta 0.5964 0.5964 0.1928  1 Ta 2.81, 4 Nb 2.91, 4 Sb 2.97
Nb 0.7500 0.2500 0.5000  4 Nb 2.62, 4 Ta 2.91
Nb 0.2500 0.7500 0.5000  4 Nb 2.62, 4 Ta 2.91
Sb 0.0000 0.0000 0.0000  8 Ta 2.97



4.
Below is a relaxed ReWCl2 crystal, with properties calculated at the PBEsol level.

Values from the calculation:
The final energy comes out at -6.33 eV per atom. The value obtained for the uncorrected formation energy is 1.456 eV/atom. The distance to the lowest polymorph of the same formula comes out at 37.79 kcal/mol of atoms. The magnetic moment comes out at 0.0 μB per cell. For the density of states at the Fermi level, the calculation gives 0.92 states/eV/atom. Its symmetry is P4/mmm.

Lattice parameters (Å, degrees): 3.0129 4.3183 4.3183 90.00 90.00 90.00
Closest atoms and distances in Å follow each position.
Positions (direct):
Cl 0.0000 0.0000 0.5000  4 Re 2.63, 4 W 2.63
Cl 0.0000 0.5000 0.0000  4 Re 2.63, 4 W 2.63
W 0.5000 0.0000 0.0000  8 Cl 2.63
Re 0.5000 0.5000 0.5000  8 Cl 2.63



5.
Below is a relaxed CsSi2RuS crystal, with properties calculated at the PBEsol level.

Values from the calculation:
The final energy comes out at -5.27 eV per atom. The value obtained for the uncorrected formation energy is 0.127 eV/atom. The magnetic moment comes out at 0.0 μB per cell. For the density of states at the Fermi level, the calculation gives 0.86 states/eV/atom. Its symmetry is P4/mmm.

Lattice parameters (Å, degrees): 4.5619 4.5619 5.4672 90.00 90.00 90.00
Closest atoms and distances in Å follow each position.
Positions (direct):
Si 0.0000 0.5000 0.0000  2 Ru 2.28
Si 0.5000 0.0000 0.0000  2 Ru 2.28
Ru 0.0000 0.0000 0.0000  4 Si 2.28
S 0.0000 0.0000 0.5000  2 Ru 2.73
Cs 0.5000 0.5000 0.5000  4 S 3.23, 8 Si 3.56



6.
Below is a relaxed ZnNiAu2 crystal, with properties calculated at the PBEsol level.

Values from the calculation:
Its energy of formation is -112 meV per atom. The final energy comes out at -4.01 eV per atom. The magnetic moment comes out at 0.0 μB per cell. For the density of states at the Fermi level, the calculation gives 0.47 states/eV/atom. Its symmetry is I4/mmm.

Lattice parameters (Å, degrees): 4.0697 4.5076 4.0697 63.16 90.00 116.84
Closest atoms and distances in Å follow each position.
Positions (direct):
Ni 0.0000 0.0000 0.0000  8 Au 2.67, 4 Zn 2.88
Au 0.7500 0.5000 0.7500  4 Zn 2.67, 4 Ni 2.67, 4 Au 2.88
Au 0.2500 0.5000 0.2500  4 Ni 2.67, 4 Zn 2.67, 4 Au 2.88
Zn 0.5000 0.0000 0.5000  8 Au 2.67, 4 Ni 2.88



7.
Below is a relaxed Ta17Ru12 crystal, with properties calculated at the PBEsol level.

Values from the calculation:
Its energy of formation is -237 meV per atom. The final energy comes out at -11.80 eV per atom. The magnetic moment comes out at 0.0 μB per cell. For the density of states at the Fermi level, the calculation gives 0.83 states/eV/atom. Its symmetry is I-43m.

Lattice parameters (Å, degrees): 8.4425 8.4425 8.4425 109.47 109.47 109.47
Closest atoms and distances in Å follow each position.
Positions (direct):
Ru 0.1902 0.1902 0.8169  3 Ru 2.52-2.62, 3 Ta 2.60-2.73
Ru 0.6267 0.0000 0.8098  3 Ru 2.52-2.62, 3 Ta 2.60-2.73
Ru 0.1831 0.3733 0.3733  3 Ru 2.52-2.62, 3 Ta 2.60-2.73
Ru 0.0000 0.6267 0.8098  3 Ru 2.52-2.62, 3 Ta 2.60-2.73
Ru 0.8098 0.0000 0.6267  3 Ru 2.52-2.62, 3 Ta 2.60-2.73
Ru 0.3733 0.1831 0.3733  3 Ru 2.52-2.62, 3 Ta 2.60-2.73
Ru 0.3733 0.3733 0.1831  3 Ru 2.52-2.62, 3 Ta 2.60-2.73
Ru 0.1902 0.8169 0.1902  3 Ru 2.52-2.62, 3 Ta 2.60-2.73
Ru 0.0000 0.8098 0.6267  3 Ru 2.52-2.62, 3 Ta 2.60-2.73
Ru 0.8169 0.1902 0.1902  3 Ru 2.52-2.62, 3 Ta 2.60-2.73
Ru 0.6267 0.8098 0.0000  3 Ru 2.52-2.62, 3 Ta 2.60-2.73
Ru 0.8098 0.6267 0.0000  3 Ru 2.52-2.62, 3 Ta 2.60-2.73
Ta 0.0000 0.3176 0.6061  3 Ru 2.60-2.73, 7 Ta 2.85-2.91
Ta 0.0000 0.6061 0.3176  3 Ru 2.60-2.73, 7 Ta 2.85-2.91
Ta 0.3176 0.6061 0.0000  3 Ru 2.60-2.73, 7 Ta 2.85-2.91
Ta 0.3939 0.7115 0.3939  3 Ru 2.60-2.73, 7 Ta 2.85-2.91
Ta 0.0000 0.0000 0.0000  4 Ta 2.91, 12 Ru 3.02
Ta 0.3939 0.3939 0.7115  3 Ru 2.60-2.73, 7 Ta 2.85-2.91
Ta 0.6824 0.6824 0.2885  3 Ru 2.60-2.73, 7 Ta 2.85-2.91
Ta 0.7115 0.3939 0.3939  3 Ru 2.60-2.73, 7 Ta 2.85-2.91
Ta 0.6061 0.3176 0.0000  3 Ru 2.60-2.73, 7 Ta 2.85-2.91
Ta 0.2885 0.6824 0.6824  3 Ru 2.60-2.73, 7 Ta 2.85-2.91
Ta 0.3449 0.0000 0.0000  4 Ta 2.85-2.91, 6 Ru 2.89
Ta 0.3176 0.0000 0.6061  3 Ru 2.60-2.73, 7 Ta 2.85-2.91
Ta 0.0000 0.0000 0.3449  4 Ta 2.85-2.91, 6 Ru 2.89
Ta 0.0000 0.3449 0.0000  4 Ta 2.85-2.91, 6 Ru 2.89
Ta 0.6061 0.0000 0.3176  3 Ru 2.60-2.73, 7 Ta 2.85-2.91
Ta 0.6824 0.2885 0.6824  3 Ru 2.60-2.73, 7 Ta 2.85-2.91
Ta 0.6551 0.6551 0.6551  4 Ta 2.85-2.91, 6 Ru 2.89



8.
Below is a relaxed LaPtRh2 crystal, with properties calculated at the PBEsol level.

Values from the calculation:
Its energy of formation is -478 meV per atom. The final energy comes out at -7.62 eV per atom. The magnetic moment comes out at 0.0 μB per cell. For the density of states at the Fermi level, the calculation gives 0.63 states/eV/atom. Its symmetry is C2/m.

Lattice parameters (Å, degrees): 4.4624 4.4692 5.2922 114.59 90.00 119.95
Closest atoms and distances in Å follow each position.
Positions (direct):
La 0.5000 0.0000 0.0000  2 Rh 2.69
Rh 0.6932 0.3865 0.5794  3 Pt 2.60-2.61, 3 Rh 2.68-2.69, 1 La 2.69
Rh 0.3068 0.6135 0.4206  3 Pt 2.60-2.61, 3 Rh 2.68-2.69, 1 La 2.69
Pt 0.0000 0.0000 0.5000  6 Rh 2.60-2.61



9.
Below is a relaxed ReAgRh crystal, with properties calculated at the PBEsol level.

Values from the calculation:
Its energy of formation is 213 meV per atom. The final energy comes out at -8.05 eV per atom. The magnetic moment comes out at 0.0 μB per cell. For the density of states at the Fermi level, the calculation gives 0.60 states/eV/atom. Its symmetry is I4mm.

Lattice parameters (Å, degrees): 2.7438 2.7438 6.2174 102.75 102.75 90.00
Closest atoms and distances in Å follow each position.
Positions (direct):
Re 0.6780 0.6780 0.3560  4 Rh 2.58, 4 Re 2.74, 4 Ag 2.86
Rh 0.3221 0.3221 0.6442  4 Re 2.58, 4 Rh 2.74, 4 Ag 2.86
Ag 0.9999 0.9999 0.9998  4 Ag 2.74, 4 Rh 2.86, 4 Re 2.86



10.
Below is a relaxed K2Y4Sn2S11 crystal, with properties calculated at the PBEsol level.

Values from the calculation:
The final energy comes out at -6.03 eV per atom. The value obtained for the uncorrected formation energy is -1.486 eV/atom. The magnetic moment comes out at 0.0 μB per cell. Its symmetry is P4/ncc.

Lattice parameters (Å, degrees): 8.5490 8.5490 27.7625 90.00 90.00 90.00
Closest atoms and distances in Å follow each position.
Positions (direct):
Y 0.3009 0.3943 0.4456  6 S 2.66-2.78
Y 0.1991 0.8943 0.0544  6 S 2.66-2.78
Y 0.8943 0.1991 0.4456  6 S 2.66-2.78
Y 0.1991 0.1057 0.5544  6 S 2.66-2.78
Y 0.3943 0.3009 0.0544  6 S 2.66-2.78
Y 0.1057 0.1991 0.9456  6 S 2.66-2.78
Y 0.3943 0.6991 0.5544  6 S 2.66-2.78
Y 0.8943 0.8009 0.9456  6 S 2.66-2.78
Y 0.6991 0.6057 0.4456  6 S 2.66-2.78
Y 0.6057 0.6991 0.0544  6 S 2.66-2.78
Y 0.8009 0.8943 0.5544  6 S 2.66-2.78
Y 0.6057 0.3009 0.5544  6 S 2.66-2.78
Y 0.3009 0.6057 0.9456  6 S 2.66-2.78
Y 0.6991 0.3943 0.9456  6 S 2.66-2.78
Y 0.1057 0.8009 0.4456  6 S 2.66-2.78
Y 0.8009 0.1057 0.0544  6 S 2.66-2.78
K 0.5000 0.0000 0.1950  8 S 3.35-3.60
K 0.0000 0.5000 0.1271  8 S 3.30-3.58
K 0.0000 0.5000 0.8050  8 S 3.35-3.60
K 0.0000 0.5000 0.6271  8 S 3.30-3.58
K 0.5000 0.0000 0.6950  8 S 3.35-3.60
K 0.5000 0.0000 0.8729  8 S 3.30-3.58
K 0.0000 0.5000 0.3050  8 S 3.35-3.60
K 0.5000 0.0000 0.3729  8 S 3.30-3.58
Sn 0.5000 0.5000 0.8096  4 S 2.38-2.45
Sn 0.0000 0.0000 0.6904  4 S 2.38-2.45
Sn 0.5000 0.5000 0.3096  4 S 2.38-2.45
Sn 0.0000 0.0000 0.8096  4 S 2.38-2.45
Sn 0.5000 0.5000 0.1904  4 S 2.38-2.45
Sn 0.5000 0.5000 0.6904  4 S 2.38-2.45
Sn 0.0000 0.0000 0.1904  4 S 2.38-2.45
Sn 0.0000 0.0000 0.3096  4 S 2.38-2.45
S 0.0000 0.5000 0.9423  4 Y 2.73
S 0.3502 0.3502 0.7500  2 Sn 2.45
S 0.1646 0.1782 0.8518  1 Sn 2.38, 1 Y 2.66
S 0.3502 0.6498 0.2500  2 Sn 2.45
S 0.1921 0.1041 0.4544  4 Y 2.66-2.78
S 0.6782 0.6646 0.3518  1 Sn 2.38, 1 Y 2.66
S 0.3079 0.3959 0.5456  4 Y 2.66-2.78
S 0.1498 0.1498 0.2500  2 Sn 2.45
S 0.8218 0.1646 0.1482  1 Sn 2.38, 1 Y 2.66
S 0.6921 0.3959 0.0456  4 Y 2.66-2.78
S 0.0000 0.5000 0.4423  4 Y 2.73
S 0.6041 0.6921 0.9544  4 Y 2.66-2.78
S 0.8079 0.1041 0.9544  4 Y 2.66-2.78
S 0.1041 0.1921 0.0456  4 Y 2.66-2.78
S 0.3218 0.6646 0.8518  1 Sn 2.38, 1 Y 2.66
S 0.8079 0.8959 0.4544  4 Y 2.66-2.78
S 0.1646 0.8218 0.3518  1 Sn 2.38, 1 Y 2.66
S 0.1041 0.8079 0.5456  4 Y 2.66-2.78
S 0.1498 0.8502 0.7500  2 Sn 2.45
S 0.8502 0.8502 0.2500  2 Sn 2.45
S 0.8218 0.8354 0.6482  1 Sn 2.38, 1 Y 2.66
S 0.6498 0.6498 0.7500  2 Sn 2.45
S 0.5000 0.0000 0.0577  4 Y 2.73
S 0.6041 0.3079 0.4544  4 Y 2.66-2.78
S 0.3218 0.3354 0.3518  1 Sn 2.38, 1 Y 2.66
S 0.1782 0.8354 0.1482  1 Sn 2.38, 1 Y 2.66
S 0.6921 0.6041 0.5456  4 Y 2.66-2.78
S 0.8354 0.8218 0.8518  1 Sn 2.38, 1 Y 2.66
S 0.3959 0.6921 0.4544  4 Y 2.66-2.78
S 0.1921 0.8959 0.9544  4 Y 2.66-2.78
S 0.8959 0.1921 0.5456  4 Y 2.66-2.78
S 0.6498 0.3502 0.2500  2 Sn 2.45
S 0.3354 0.3218 0.1482  1 Sn 2.38, 1 Y 2.66
S 0.6646 0.3218 0.6482  1 Sn 2.38, 1 Y 2.66
S 0.8502 0.1498 0.7500  2 Sn 2.45
S 0.6646 0.6782 0.1482  1 Sn 2.38, 1 Y 2.66
S 0.5000 0.0000 0.5577  4 Y 2.73
S 0.3079 0.6041 0.0456  4 Y 2.66-2.78
S 0.1782 0.1646 0.6482  1 Sn 2.38, 1 Y 2.66
S 0.3959 0.3079 0.9544  4 Y 2.66-2.78
S 0.6782 0.3354 0.8518  1 Sn 2.38, 1 Y 2.66
S 0.8959 0.8079 0.0456  4 Y 2.66-2.78
S 0.3354 0.6782 0.6482  1 Sn 2.38, 1 Y 2.66
S 0.8354 0.1782 0.3518  1 Sn 2.38, 1 Y 2.66



11.
Below is a relaxed ScIN2 crystal, with properties calculated at the PBEsol level.

Values from the calculation:
The final energy comes out at -5.48 eV per atom. The value obtained for the uncorrected formation energy is 0.879 eV/atom. The magnetic moment comes out at 0.0 μB per cell. For the density of states at the Fermi level, the calculation gives 0.31 states/eV/atom. Its symmetry is R-3m.

Lattice parameters (Å, degrees): 3.4932 3.4932 6.6565 74.79 74.79 60.00
Closest atoms and distances in Å follow each position.
Positions (direct):
N 0.1095 0.1095 0.6715  1 Sc 2.08, 3 I 2.29
N 0.8905 0.8905 0.3285  1 Sc 2.08, 3 I 2.29
Sc 0.0000 0.0000 0.0000  2 N 2.08
I 0.5000 0.5000 0.5000  6 N 2.29